First-principles (PBE) data for Tl8Hg3Pb after structural relaxation, as listed in Alexandria.

**Formation energy**: 0.008 eV per atom
**DOS at the Fermi energy**: 3.70 states/eV/f.u.
**Mass density**: 11.09 g cm⁻³
**SG**: R-3m

abc: 11.4274 11.4274 7.3480
angles: 38.96 38.96 60.00
Last column: nearest neighbours and their distance in Å.
Fractional positions:
Tl: 0.8342 0.8342 0.4975  1 Tl 3.22, 1 Pb 3.24
Tl: 0.1658 0.1658 0.5025  1 Tl 3.22, 1 Pb 3.24
Tl: 0.8224 0.8224 0.0221  3 Hg 3.16-3.26, 3 Tl 3.37-3.38
Tl: 0.8224 0.3331 0.0221  3 Hg 3.16-3.26, 3 Tl 3.37-3.38
Tl: 0.3331 0.8224 0.0221  3 Hg 3.16-3.26, 3 Tl 3.37-3.38
Tl: 0.6669 0.1776 0.9779  3 Hg 3.16-3.26, 3 Tl 3.37-3.38
Tl: 0.1776 0.6669 0.9779  3 Hg 3.16-3.26, 3 Tl 3.37-3.38
Tl: 0.1776 0.1776 0.9779  3 Hg 3.16-3.26, 3 Tl 3.37-3.38
Hg: 0.0000 0.5000 0.0000  6 Tl 3.16-3.26
Hg: 0.5000 0.0000 0.0000  6 Tl 3.16-3.26
Hg: 0.5000 0.5000 0.0000  6 Tl 3.16-3.26
Pb: 0.5000 0.5000 0.5000  8 Tl 3.24-3.58

First-principles (PBE) data for CaUOs2 after structural relaxation, as listed in Alexandria.

**Formation energy**: 0.036 eV per atom
**DOS at the Fermi energy**: 3.00 states/eV/f.u.
**Mass density**: 13.48 g cm⁻³
**SG**: P4/mmm

abc: 3.4046 3.4046 6.9975
angles: 90.00 90.00 90.00
Last column: nearest neighbours and their distance in Å.
Fractional positions:
Os: 0.0000 0.0000 0.7953  4 U 2.80, 1 Os 2.86
Os: 0.0000 0.0000 0.2047  4 U 2.80, 1 Os 2.86
Ca: 0.5000 0.5000 0.5000  8 Os 3.17, 4 Ca 3.40, 2 U 3.50
U: 0.5000 0.5000 0.0000  8 Os 2.80

First-principles (PBE) data for Ac6Mg5Tl after structural relaxation, as listed in Alexandria.

**Formation energy**: -0.126 eV per atom
**DOS at the Fermi energy**: 14.02 states/eV/f.u.
**Mass density**: 6.70 g cm⁻³
**SG**: Cmmm

abc: 5.8226 8.2100 9.2233
angles: 90.00 71.60 90.00
Last column: nearest neighbours and their distance in Å.
Fractional positions:
Ac: 0.8336 0.7486 0.3327  7 Mg 3.51-3.57, 1 Tl 3.57
Ac: 0.8336 0.2514 0.3327  7 Mg 3.51-3.57, 1 Tl 3.57
Ac: 0.5000 0.2488 0.0000  2 Tl 3.56, 6 Mg 3.57-3.63
Ac: 0.5000 0.7512 0.0000  2 Tl 3.56, 6 Mg 3.57-3.63
Ac: 0.1664 0.7486 0.6673  7 Mg 3.51-3.57, 1 Tl 3.57
Ac: 0.1664 0.2514 0.6673  7 Mg 3.51-3.57, 1 Tl 3.57
Mg: 0.6667 0.5000 0.6667  8 Ac 3.56-3.57
Mg: 0.3287 0.0000 0.3425  8 Ac 3.51-3.63
Mg: 0.0000 0.5000 0.0000  8 Ac 3.56-3.57
Mg: 0.6713 0.0000 0.6575  8 Ac 3.51-3.63
Mg: 0.3333 0.5000 0.3333  8 Ac 3.56-3.57
Tl: 0.0000 0.0000 0.0000  8 Ac 3.56-3.57

First-principles (PBE) data for Pm6ZnRu2 after structural relaxation, as listed in Alexandria.

**Formation energy**: -0.231 eV per atom
**DOS at the Fermi energy**: 8.03 states/eV/f.u.
**Mass density**: 7.73 g cm⁻³
**SG**: Immm

abc: 8.6113 8.6113 8.6113
angles: 104.53 111.41 112.58
Last column: nearest neighbours and their distance in Å.
Fractional positions:
Pm: 0.5408 0.7206 0.8202  3 Ru 2.99-3.04, 1 Zn 3.19
Pm: 0.4592 0.2794 0.1798  3 Ru 2.99-3.04, 1 Zn 3.19
Pm: 0.0996 0.2794 0.8202  3 Ru 2.99-3.04, 1 Zn 3.19
Pm: 0.9004 0.7206 0.1798  3 Ru 2.99-3.04, 1 Zn 3.19
Pm: 0.8049 0.7598 0.5647  1 Ru 2.80
Pm: 0.1951 0.2402 0.4353  1 Ru 2.80
Pm: 0.1951 0.7598 0.9549  1 Ru 2.80
Pm: 0.8049 0.2402 0.0451  1 Ru 2.80
Pm: 0.6866 0.3591 0.6725  3 Ru 2.78-3.09
Pm: 0.3134 0.6409 0.3275  3 Ru 2.78-3.09
Pm: 0.3134 0.9859 0.6725  3 Ru 2.78-3.09
Pm: 0.6866 0.0141 0.3275  3 Ru 2.78-3.09
Zn: 0.0000 0.5000 0.5000  8 Pm 3.33-3.50
Zn: 0.0000 0.0000 0.0000  2 Ru 3.10, 8 Pm 3.16-3.19
Ru: 0.5000 0.3748 0.8748  1 Ru 2.64, 2 Pm 2.78
Ru: 0.5000 0.6252 0.1252  1 Ru 2.64, 2 Pm 2.78
Ru: 0.6808 0.0000 0.6808  8 Pm 2.80-3.09, 1 Zn 3.10
Ru: 0.3192 0.0000 0.3192  8 Pm 2.80-3.09, 1 Zn 3.10

First-principles (PBE) data for KHg2Pd2 after structural relaxation, as listed in Alexandria.

**Formation energy**: -0.141 eV per atom
**DOS at the Fermi energy**: 1.88 states/eV/f.u.
**Mass density**: 9.02 g cm⁻³
**SG**: I4/mmm

abc: 4.3578 4.3578 7.0431
angles: 71.98 71.98 90.00
Last column: nearest neighbours and their distance in Å.
Fractional positions:
K: 0.0000 0.0000 0.0000  8 Hg 3.41
Hg: 0.3855 0.3855 0.2290  4 Pd 2.77, 1 Hg 2.90
Hg: 0.6145 0.6145 0.7710  4 Pd 2.77, 1 Hg 2.90
Pd: 0.7500 0.2500 0.5000  4 Hg 2.77, 4 Pd 3.08
Pd: 0.2500 0.7500 0.5000  4 Hg 2.77, 4 Pd 3.08

First-principles (PBE) data for AcPrSnPt after structural relaxation, as listed in Alexandria.

**Formation energy**: -0.653 eV per atom
**DOS at the Fermi energy**: 3.12 states/eV/f.u.
**Mass density**: 8.68 g cm⁻³
**SG**: P4/nmm

abc: 4.9352 4.9352 10.7079
angles: 90.00 90.00 90.00
Last column: nearest neighbours and their distance in Å.
Fractional positions:
Ac: 0.0000 0.5000 0.8029  1 Sn 3.22
Ac: 0.5000 0.0000 0.1971  1 Sn 3.22
Pr: 0.0000 0.0000 0.5000  4 Pt 2.96
Pr: 0.5000 0.5000 0.5000  4 Pt 2.96
Sn: 0.5000 0.0000 0.8962  1 Pt 2.61
Sn: 0.0000 0.5000 0.1038  1 Pt 2.61
Pt: 0.0000 0.5000 0.3475  1 Sn 2.61
Pt: 0.5000 0.0000 0.6525  1 Sn 2.61

First-principles (PBE) data for Sc4Sb3N after structural relaxation, as listed in Alexandria.

**DOS at the Fermi energy**: 0.39 states/eV/f.u.
**Mass density**: 4.35 g cm⁻³
**SG**: Pmn2_1
**Uncorrected formation energy**: -879 meV/atom

abc: 5.8324 8.0630 9.0841
angles: 90.00 90.00 90.00
Last column: nearest neighbours and their distance in Å.
Fractional positions:
Sc: 0.0659 0.9116 0.0000  1 N 2.15
Sc: 0.6393 0.1774 0.0000  1 N 2.10
Sc: 0.0683 0.3002 0.2008  1 N 2.13
Sc: 0.5683 0.6998 0.2992  1 N 2.13
Sc: 0.1393 0.8226 0.5000  1 N 2.10
Sc: 0.5659 0.0884 0.5000  1 N 2.15
Sc: 0.5683 0.6998 0.7008  1 N 2.13
Sc: 0.0683 0.3002 0.7992  1 N 2.13
Sb: 0.5573 0.8367 0.0000  5 Sc 2.79-3.03
Sb: 0.0586 0.6604 0.2331  5 Sc 2.79-3.05
Sb: 0.5586 0.3396 0.2669  5 Sc 2.79-3.05
Sb: 0.0573 0.1633 0.5000  5 Sc 2.79-3.03
Sb: 0.5586 0.3396 0.7331  5 Sc 2.79-3.05
Sb: 0.0586 0.6604 0.7669  5 Sc 2.79-3.05
N: 0.9988 0.1741 0.0000  4 Sc 2.10-2.15
N: 0.4988 0.8259 0.5000  4 Sc 2.10-2.15

First-principles (PBE) data for Na3Y2TiSe6 after structural relaxation, as listed in Alexandria.

**DOS at the Fermi energy**: 6.26 states/eV/f.u.
**Mass density**: 4.31 g cm⁻³
**SG**: C2/m
**Uncorrected formation energy**: -1498 meV/atom

abc: 6.9881 6.9881 7.3844
angles: 99.10 99.10 120.00
Last column: nearest neighbours and their distance in Å.
Fractional positions:
Na: 0.1703 0.8297 0.5000  6 Se 2.98-3.10
Na: 0.8297 0.1703 0.5000  6 Se 2.98-3.10
Na: 0.5000 0.5000 0.5000  6 Se 2.97-3.16
Y: 0.3330 0.6670 0.0000  6 Se 2.87
Y: 0.6670 0.3330 0.0000  6 Se 2.87
Ti: 0.0000 0.0000 0.0000  6 Se 2.68-2.70
Se: 0.9246 0.6106 0.7753  1 Ti 2.70, 2 Y 2.87, 2 Na 2.97-2.98
Se: 0.7623 0.7623 0.2219  1 Ti 2.68, 2 Y 2.87
Se: 0.0754 0.3894 0.2247  1 Ti 2.70, 2 Y 2.87, 2 Na 2.97-2.98
Se: 0.6106 0.9246 0.7753  1 Ti 2.70, 2 Y 2.87, 2 Na 2.97-2.98
Se: 0.2377 0.2377 0.7781  1 Ti 2.68, 2 Y 2.87
Se: 0.3894 0.0754 0.2247  1 Ti 2.70, 2 Y 2.87, 2 Na 2.97-2.98

First-principles (PBE) data for PmNdY3Sc after structural relaxation, as listed in Alexandria.

**Formation energy**: 0.041 eV per atom
**DOS at the Fermi energy**: 9.45 states/eV/f.u.
**Mass density**: 5.24 g cm⁻³
**SG**: Cmcm

abc: 5.0217 7.9584 10.0407
angles: 90.00 90.00 108.39
Last column: nearest neighbours and their distance in Å.
Fractional positions:
Pm: 0.4974 0.9949 0.7500  6 Y 3.54-3.62, 2 Sc 3.54, 4 Nd 3.55
Pm: 0.5026 0.0051 0.2500  6 Y 3.54-3.62, 2 Sc 3.54, 4 Nd 3.55
Nd: 0.0000 0.0000 0.5000  4 Pm 3.55, 2 Sc 3.57, 6 Y 3.57-3.59
Nd: 0.0000 0.0000 0.0000  4 Pm 3.55, 2 Sc 3.57, 6 Y 3.57-3.59
Y: 0.6681 0.3363 0.4990  5 Y 3.50-3.56, 3 Sc 3.54, 2 Pm 3.54-3.61, 2 Nd 3.57
Y: 0.3319 0.6637 0.5010  5 Y 3.50-3.56, 3 Sc 3.54, 2 Pm 3.54-3.61, 2 Nd 3.57
Y: 0.3319 0.6637 0.9990  5 Y 3.50-3.56, 3 Sc 3.54, 2 Pm 3.54-3.61, 2 Nd 3.57
Y: 0.6681 0.3363 0.0010  5 Y 3.50-3.56, 3 Sc 3.54, 2 Pm 3.54-3.61, 2 Nd 3.57
Y: 0.1700 0.3400 0.7500  6 Y 3.50-3.56, 2 Sc 3.51, 2 Nd 3.59, 2 Pm 3.62
Y: 0.8300 0.6600 0.2500  6 Y 3.50-3.56, 2 Sc 3.51, 2 Nd 3.59, 2 Pm 3.62
Sc: 0.8324 0.6647 0.7500  8 Y 3.51-3.54, 2 Pm 3.54, 2 Nd 3.57
Sc: 0.1676 0.3353 0.2500  8 Y 3.51-3.54, 2 Pm 3.54, 2 Nd 3.57

First-principles (PBE) data for ScBe2Ag2 after structural relaxation, as listed in Alexandria.

**Formation energy**: 0.137 eV per atom
**DOS at the Fermi energy**: 2.02 states/eV/f.u.
**Mass density**: 6.14 g cm⁻³
**SG**: P4/mbm

abc: 7.3525 7.3525 2.7886
angles: 90.00 90.00 90.00
Last column: nearest neighbours and their distance in Å.
Fractional positions:
Sc: 0.0000 0.0000 0.0000  2 Sc 2.79, 4 Ag 2.86, 8 Be 3.09
Sc: 0.5000 0.5000 0.0000  2 Sc 2.79, 4 Ag 2.86, 8 Be 3.09
Be: 0.1625 0.6625 0.5000  6 Ag 2.52-2.60, 2 Be 2.79
Be: 0.6625 0.8375 0.5000  6 Ag 2.52-2.60, 2 Be 2.79
Be: 0.8375 0.3375 0.5000  6 Ag 2.52-2.60, 2 Be 2.79
Be: 0.3375 0.1625 0.5000  6 Ag 2.52-2.60, 2 Be 2.79
Ag: 0.3649 0.8649 0.0000  6 Be 2.52-2.60, 3 Ag 2.79-2.81
Ag: 0.8649 0.6351 0.0000  6 Be 2.52-2.60, 3 Ag 2.79-2.81
Ag: 0.6351 0.1351 0.0000  6 Be 2.52-2.60, 3 Ag 2.79-2.81
Ag: 0.1351 0.3649 0.0000  6 Be 2.52-2.60, 3 Ag 2.79-2.81